DFT (GGA-PBE) results for a relaxed CdMoW2 crystal.

a b c (Å): 2.734 4.599 5.478
angles (deg): 90.00 100.94 90.00
Element x y z (fractional)
Cd1 0.000 0.000 0.000
Mo1 0.500 0.000 0.500
W1 0.253 0.500 0.736
W2 0.747 0.500 0.264

Output
- ΔH_f (0 K) (eV per atom) = 0.43

***

DFT (GGA-PBE) results for a relaxed KSrI2O crystal.

a b c (Å): 6.247 6.247 4.710
angles (deg): 90.00 90.00 90.00
Element x y z (fractional)
K1 0.000 0.000 0.000
Sr1 0.500 0.500 0.500
I1 0.000 0.500 0.000
I2 0.500 0.000 0.000
O1 0.000 0.000 0.500

Output
- energy relative to the elements, uncorrected (eV per formula unit) = -3.84
- ΔE to the lowest computed polymorph (meV/atom) = 573

***

DFT (GGA-PBE) results for a relaxed Cu2NiB2 crystal.

a b c (Å): 5.331 5.331 3.197
angles (deg): 90.00 90.00 90.00
Element x y z (fractional)
Cu1 0.178 0.322 0.000
Cu2 0.322 0.822 0.000
Cu3 0.678 0.178 0.000
Cu4 0.822 0.678 0.000
Ni1 0.000 0.000 0.500
Ni2 0.500 0.500 0.500
B1 0.116 0.616 0.500
B2 0.384 0.116 0.500
B3 0.616 0.884 0.500
B4 0.884 0.384 0.500

Output
- ΔH_f (0 K) (eV per atom) = 0.14

***

DFT (GGA-PBE) results for a relaxed GaCoSn3 crystal.

a b c (Å): 5.251 5.251 5.251
angles (deg): 90.00 90.00 90.00
Element x y z (fractional)
Ga1 0.000 0.000 0.000
Co1 0.500 0.500 0.500
Sn1 0.000 0.000 0.500
Sn2 0.000 0.500 0.000
Sn3 0.500 0.000 0.000

Output
- ΔH_f (0 K) (eV per atom) = 1.02
- ΔE to the lowest computed polymorph (meV/atom) = 876

***

DFT (GGA-PBE) results for a relaxed NbC2O2 crystal.

a b c (Å): 6.810 6.810 2.355
angles (deg): 90.00 90.00 90.00
Element x y z (fractional)
Nb1 0.000 0.000 0.000
Nb2 0.500 0.500 0.000
C1 0.216 0.284 0.000
C2 0.284 0.784 0.000
C3 0.716 0.216 0.000
C4 0.784 0.716 0.000
O1 0.131 0.369 0.500
O2 0.369 0.869 0.500
O3 0.631 0.131 0.500
O4 0.869 0.631 0.500

Output
- energy relative to the elements, uncorrected (eV per formula unit) = 3.49
- ΔE to the lowest computed polymorph (meV/atom) = 147

***

DFT (GGA-PBE) results for a relaxed CoPbBr crystal.

a b c (Å): 7.015 7.015 7.015
angles (deg): 153.09 153.09 38.42
Element x y z (fractional)
Co1 0.000 0.000 0.000
Pb1 0.649 0.649 0.000
Br1 0.401 0.401 0.000

Output
- energy relative to the elements, uncorrected (eV per formula unit) = 0.91
- ΔE to the lowest computed polymorph (meV/atom) = 163

***

DFT (GGA-PBE) results for a relaxed LiTbCd crystal.

a b c (Å): 3.376 4.203 5.514
angles (deg): 90.00 90.00 90.00
Element x y z (fractional)
Li1 0.000 0.000 0.000
Tb1 0.000 0.500 0.500
Cd1 0.500 0.500 0.000

Output
- ΔH_f (0 K) (eV per atom) = 0.05
- ΔE to the lowest computed polymorph (meV/atom) = 222

***

DFT (GGA-PBE) results for a relaxed LiTbTlAg crystal.

a b c (Å): 5.029 5.029 5.029
angles (deg): 60.00 60.00 60.00
Element x y z (fractional)
Li1 0.000 0.000 0.000
Tb1 0.500 0.500 0.500
Tl1 0.750 0.750 0.750
Ag1 0.250 0.250 0.250

Output
- ΔH_f (0 K) (eV per atom) = -0.28
- ΔE to the lowest computed polymorph (meV/atom) = 3

***

DFT (GGA-PBE) results for a relaxed Cd4Ag8Sn crystal.

a b c (Å): 4.037 4.184 15.692
angles (deg): 90.00 90.00 90.00
Element x y z (fractional)
Cd1 0.000 0.000 0.000
Cd2 0.000 0.500 0.149
Cd3 0.500 0.000 0.424
Cd4 0.500 0.500 0.589
Ag1 0.000 0.000 0.287
Ag2 0.000 0.000 0.558
Ag3 0.000 0.500 0.428
Ag4 0.000 0.500 0.860
Ag5 0.500 0.000 0.145
Ag6 0.500 0.000 0.863
Ag7 0.500 0.500 0.005
Ag8 0.500 0.500 0.286
Sn1 0.000 0.000 0.733

Output
- ΔH_f (0 K) (eV per atom) = 0.02

***

DFT (GGA-PBE) results for a relaxed Ca3LaU2P6 crystal.

a b c (Å): 7.129 7.129 7.064
angles (deg): 99.73 99.73 119.98
Element x y z (fractional)
Ca1 0.000 0.000 0.000
Ca2 0.337 0.663 0.000
Ca3 0.663 0.337 0.000
La1 0.500 0.500 0.500
U1 0.167 0.833 0.500
U2 0.833 0.167 0.500
P1 0.070 0.423 0.271
P2 0.225 0.225 0.731
P3 0.423 0.070 0.271
P4 0.577 0.930 0.729
P5 0.775 0.775 0.269
P6 0.930 0.577 0.729

Output
- ΔH_f (0 K) (eV per atom) = -1.15

***

DFT (GGA-PBE) results for a relaxed TaAg2Cl crystal.

a b c (Å): 2.937 2.937 10.056
angles (deg): 90.00 90.00 112.97
Element x y z (fractional)
Ta1 0.000 0.000 0.000
Ag1 0.000 0.000 0.532
Ag2 0.500 0.500 0.764
Cl1 0.500 0.500 0.193

Output
- energy relative to the elements, uncorrected (eV per formula unit) = 0.14
- ΔE to the lowest computed polymorph (meV/atom) = 0

***

DFT (GGA-PBE) results for a relaxed NaCa2Hg4Bi crystal.

a b c (Å): 9.280 9.280 9.280
angles (deg): 33.46 33.46 33.46
Element x y z (fractional)
Na1 0.000 0.000 0.000
Ca1 0.243 0.243 0.243
Ca2 0.757 0.757 0.757
Hg1 0.116 0.116 0.116
Hg2 0.367 0.367 0.367
Hg3 0.633 0.633 0.633
Hg4 0.884 0.884 0.884
Bi1 0.500 0.500 0.500

Output
- ΔH_f (0 K) (eV per atom) = -0.40

***

DFT (GGA-PBE) results for a relaxed Li6Mg12Hg crystal.

a b c (Å): 7.405 7.405 7.405
angles (deg): 89.82 89.82 89.82
Element x y z (fractional)
Li1 0.234 0.607 0.764
Li2 0.236 0.766 0.393
Li3 0.393 0.236 0.766
Li4 0.607 0.764 0.234
Li5 0.764 0.234 0.607
Li6 0.766 0.393 0.236
Mg1 0.026 0.303 0.937
Mg2 0.063 0.974 0.697
Mg3 0.131 0.345 0.474
Mg4 0.303 0.937 0.026
Mg5 0.345 0.474 0.131
Mg6 0.474 0.131 0.345
Mg7 0.526 0.869 0.655
Mg8 0.655 0.526 0.869
Mg9 0.697 0.063 0.974
Mg10 0.869 0.655 0.526
Mg11 0.937 0.026 0.303
Mg12 0.974 0.697 0.063
Hg1 0.500 0.500 0.500

Output
- ΔH_f (0 K) (eV per atom) = -0.06
- ΔE to the lowest computed polymorph (meV/atom) = 0

***

DFT (GGA-PBE) results for a relaxed LiCa2Tb crystal.

a b c (Å): 11.740 11.740 11.740
angles (deg): 18.20 18.20 18.20
Element x y z (fractional)
Li1 0.000 0.000 0.000
Ca1 0.414 0.414 0.414
Ca2 0.587 0.587 0.587
Tb1 0.834 0.834 0.834

Output
- ΔH_f (0 K) (eV per atom) = 0.11
- ΔE to the lowest computed polymorph (meV/atom) = 14

***

DFT (GGA-PBE) results for a relaxed Nd2SnC crystal.

a b c (Å): 9.643 9.643 9.643
angles (deg): 21.88 21.88 21.88
Element x y z (fractional)
Nd1 0.117 0.117 0.117
Nd2 0.883 0.883 0.883
Sn1 0.000 0.000 0.000
C1 0.500 0.500 0.500

Output
- ΔH_f (0 K) (eV per atom) = -0.08

***

DFT (GGA-PBE) results for a relaxed CaEuMgCu crystal.

a b c (Å): 5.362 5.362 5.362
angles (deg): 60.00 60.00 60.00
Element x y z (fractional)
Ca1 0.000 0.000 0.000
Eu1 0.500 0.500 0.500
Mg1 0.250 0.250 0.250
Cu1 0.750 0.750 0.750

Output
- ΔH_f (0 K) (eV per atom) = 0.00

***

DFT (GGA-PBE) results for a relaxed NaHfTeN2 crystal.

a b c (Å): 4.237 4.237 5.188
angles (deg): 90.00 90.00 90.00
Element x y z (fractional)
Na1 0.000 0.000 0.000
Hf1 0.500 0.500 0.500
Te1 0.000 0.000 0.500
N1 0.000 0.500 0.000
N2 0.500 0.000 0.000

Output
- energy relative to the elements, uncorrected (eV per formula unit) = 8.41
- ΔE to the lowest computed polymorph (meV/atom) = 1631

***

DFT (GGA-PBE) results for a relaxed Cs2LiGe2Te4 crystal.

a b c (Å): 9.568 9.568 7.993
angles (deg): 114.57 114.57 32.75
Element x y z (fractional)
Cs1 0.145 0.145 0.144
Cs2 0.855 0.855 0.856
Li1 0.000 0.000 0.500
Ge1 0.384 0.384 0.385
Ge2 0.616 0.616 0.615
Te1 0.173 0.173 0.671
Te2 0.500 0.500 0.253
Te3 0.500 0.500 0.747
Te4 0.827 0.827 0.329

Output
- energy relative to the elements, uncorrected (eV per formula unit) = -5.39

***

DFT (GGA-PBE) results for a relaxed YThAlCd crystal.

a b c (Å): 5.290 5.290 5.290
angles (deg): 60.00 60.00 60.00
Element x y z (fractional)
Y1 0.000 0.000 0.000
Th1 0.500 0.500 0.500
Al1 0.750 0.750 0.750
Cd1 0.250 0.250 0.250

Output
- ΔH_f (0 K) (eV per atom) = -0.25

***

DFT (GGA-PBE) results for a relaxed ZrP2Ru crystal.

a b c (Å): 3.095 3.095 6.507
angles (deg): 90.00 90.00 101.98
Element x y z (fractional)
Zr1 0.000 0.000 0.000
P1 0.500 0.500 0.275
P2 0.500 0.500 0.725
Ru1 0.000 0.000 0.500

Output
- ΔH_f (0 K) (eV per atom) = -0.48
- ΔE to the lowest computed polymorph (meV/atom) = 340

***

DFT (GGA-PBE) results for a relaxed AcTbNd5Er2 crystal.

a b c (Å): 12.529 12.529 9.515
angles (deg): 90.00 90.00 154.30
Element x y z (fractional)
Ac1 0.102 0.898 0.500
Ac2 0.898 0.102 0.000
Tb1 0.263 0.737 0.108
Tb2 0.737 0.263 0.608
Nd1 0.025 0.975 0.829
Nd2 0.106 0.894 0.106
Nd3 0.189 0.811 0.797
Nd4 0.241 0.759 0.434
Nd5 0.490 0.510 0.612
Nd6 0.510 0.490 0.112
Nd7 0.759 0.241 0.934
Nd8 0.811 0.189 0.297
Nd9 0.894 0.106 0.606
Nd10 0.975 0.025 0.329
Er1 0.326 0.674 0.748
Er2 0.388 0.612 0.361
Er3 0.612 0.388 0.861
Er4 0.674 0.326 0.248

Output
- ΔH_f (0 K) (eV per atom) = 0.14

***

DFT (GGA-PBE) results for a relaxed TbSmCdGe crystal.

a b c (Å): 5.203 5.203 5.203
angles (deg): 60.00 60.00 60.00
Element x y z (fractional)
Tb1 0.000 0.000 0.000
Sm1 0.500 0.500 0.500
Cd1 0.250 0.250 0.250
Ge1 0.750 0.750 0.750

Output
- ΔH_f (0 K) (eV per atom) = -0.48

***

DFT (GGA-PBE) results for a relaxed Er2In5Pt3 crystal.

a b c (Å): 13.545 13.545 7.488
angles (deg): 90.00 90.00 161.47
Element x y z (fractional)
Er1 0.024 0.976 0.500
Er2 0.323 0.677 0.616
Er3 0.677 0.323 0.116
Er4 0.976 0.024 0.000
In1 0.098 0.902 0.890
In2 0.206 0.794 0.818
In3 0.207 0.793 0.410
In4 0.376 0.624 0.041
In5 0.446 0.554 0.663
In6 0.554 0.446 0.163
In7 0.624 0.376 0.541
In8 0.793 0.207 0.910
In9 0.794 0.206 0.318
In10 0.902 0.098 0.390
Pt1 0.112 0.888 0.275
Pt2 0.268 0.732 0.115
Pt3 0.458 0.542 0.281
Pt4 0.542 0.458 0.781
Pt5 0.732 0.268 0.615
Pt6 0.888 0.112 0.775

Output
- ΔH_f (0 K) (eV per atom) = -0.72

***

DFT (GGA-PBE) results for a relaxed In7Hg6Bi crystal.

a b c (Å): 6.988 7.423 8.293
angles (deg): 94.53 110.43 105.42
Element x y z (fractional)
In1 0.000 0.000 0.000
In2 0.010 0.512 0.018
In3 0.279 0.786 0.843
In4 0.303 0.297 0.872
In5 0.444 0.936 0.285
In6 0.577 0.567 0.698
In7 0.587 0.079 0.712
Hg1 0.148 0.656 0.427
Hg2 0.452 0.444 0.286
Hg3 0.709 0.722 0.130
Hg4 0.718 0.220 0.141
Hg5 0.856 0.862 0.566
Hg6 0.877 0.368 0.581
Bi1 0.156 0.153 0.429

Output
- ΔH_f (0 K) (eV per atom) = 0.02

***

DFT (GGA-PBE) results for a relaxed NaYTa2 crystal.

a b c (Å): 11.412 11.412 11.412
angles (deg): 159.62 159.62 28.97
Element x y z (fractional)
Na1 0.000 0.000 0.000
Na2 0.750 0.250 0.500
Y1 0.250 0.750 0.500
Y2 0.500 0.500 0.000
Ta1 0.131 0.125 0.506
Ta2 0.375 0.869 0.994
Ta3 0.619 0.625 0.494
Ta4 0.875 0.381 0.006

Output
- ΔH_f (0 K) (eV per atom) = 1.01
- ΔE to the lowest computed polymorph (meV/atom) = 0